DFT (PBE-GGA) results for a relaxed CeTh2Bi3 crystal.

The calculation puts the raw total energy at -69.6 eV/cell.

The structure belongs to space group Cmmm (No. 65); the cell edges are 6.437, 15.765 and 4.450 Å and the angles 90.00°, 90.00° and 90.00°. The distinct sites, in fractional coordinates, are Ce at (0.000, 0.000, 0.000), Th at (0.000, 0.353, 0.500), Bi at (0.000, 0.152, 0.500) and Bi at (0.000, 0.500, 0.000).

=====

DFT (PBE-GGA) results for a relaxed Ca3La2Rh2 crystal.

The calculation puts the raw total energy at -67.6 eV/cell.

The structure belongs to space group C2/m (No. 12); the cell edges are 12.918, 4.021 and 8.761 Å and the angles 90.00°, 111.70° and 90.00°. The distinct sites, in fractional coordinates, are Ca at (0.000, 0.000, 0.000), Ca at (0.127, 0.000, 0.424), La at (0.171, 0.500, 0.813) and Rh at (0.189, 0.500, 0.197).

=====

Question: What is the raw total energy in the first record?
Answer: -69.6 eV/cell

=====

Question: The highest raw total energy belongs to which entry?
Answer: Ca3La2Rh2